1.
First-principles (PBE) data for a relaxed NdY4Zn5 crystal, as listed in Alexandria via LeMat-Bulk.

- Crystal system: tetragonal
- DFT formation energy: -0.3453 eV per atom
- Spin magnetization: 0.00 μB per cell

a b c (Å): 3.5973 3.5973 18.0594
angles (deg): 90.00 90.00 90.00
Space group P4/mmm (No. 123)
One atom of each set of equivalent atoms:
Nd  0.0000  0.0000  0.0000 x1
Y  0.0000  0.0000  0.2035 x2
Y  0.0000  0.0000  0.4015 x2
Zn  0.5000  0.5000  0.1077 x2
Zn  0.5000  0.5000  0.3022 x2
Zn  0.5000  0.5000  0.5000 x1


2.
First-principles (PBE) data for a relaxed Li3La2CrNi12 crystal, as listed in Alexandria via LeMat-Bulk.

- Crystal system: trigonal
- DFT formation energy: 0.1881 eV per atom
- Spin magnetization: 7.87 μB per cell

a b c (Å): 6.0186 6.0186 25.3262
angles (deg): 90.00 90.00 120.00
Space group R-3m (No. 166, hexagonal axes)
One atom of each set of equivalent atoms:
Li  0.0000  0.5000  0.0000 x9
La  0.0000  0.0000  0.1530 x6
Cr  0.0000  0.0000  0.5000 x3
Ni  0.0549  0.5275  0.0959 x18
Ni  0.0726  0.5363  0.6162 x18


3.
First-principles (PBE) data for a relaxed Li12MgHg6 crystal, as listed in Alexandria via LeMat-Bulk.

- Crystal system: trigonal
- DFT formation energy: -0.2608 eV per atom
- Spin magnetization: 0.00 μB per cell

a b c (Å): 10.1068 10.1068 12.4511
angles (deg): 90.00 90.00 120.00
Space group R-3 (No. 148, hexagonal axes)
One atom of each set of equivalent atoms:
Li  0.0335  0.1917  0.3094 x18
Li  0.0599  0.8395  0.9149 x18
Mg  0.0000  0.0000  0.5000 x3
Hg  0.0118  0.4276  0.2100 x18


4.
First-principles (PBE) data for a relaxed ReHgHRh2 crystal, as listed in Alexandria via LeMat-Bulk.

- Crystal system: tetragonal
- Electronic total energy: -27.0 eV per cell
- Spin magnetization: 0.00 μB per cell

a b c (Å): 4.8643 4.8643 3.3268
angles (deg): 90.00 90.00 90.00
Space group P4/mmm (No. 123)
One atom of each set of equivalent atoms:
Re  0.0000  0.0000  0.0000 x1
Hg  0.5000  0.5000  0.5000 x1
H  0.0000  0.0000  0.5000 x1
Rh  0.0000  0.5000  0.0000 x2


5.
First-principles (PBE) data for a relaxed CaHfBr2 crystal, as listed in Alexandria via LeMat-Bulk.

- Crystal system: tetragonal
- Spin magnetization: 5.79 μB per cell
- Energy above the lowest structure with this stoichiometry: 258 meV/atom

a b c (Å): 5.0093 5.0093 18.4079
angles (deg): 90.00 90.00 90.00
Space group I-42d (No. 122)
One atom of each set of equivalent atoms:
Ca  0.0000  0.0000  0.0000 x4
Hf  0.0000  0.0000  0.5000 x4
Br  0.2193  0.2500  0.6250 x8


6.
First-principles (PBE) data for a relaxed Pr5Tm4Th crystal, as listed in Alexandria via LeMat-Bulk.

- Crystal system: monoclinic
- DFT formation energy: 0.0451 eV per atom
- Spin magnetization: 0.00 μB per cell
- Energy above the lowest structure with this stoichiometry: 0 meV/atom

a b c (Å): 17.1916 3.5550 11.5487
angles (deg): 90.00 108.58 90.00
Space group C2/m (No. 12)
One atom of each set of equivalent atoms:
Pr  0.0000  0.0000  0.0000 x2
Pr  0.1896  0.5000  0.0809 x4
Pr  0.2026  0.5000  0.6103 x4
Tm  0.0791  0.5000  0.2961 x4
Tm  0.1045  0.0000  0.7970 x4
Th  0.0000  0.0000  0.5000 x2


7.
First-principles (PBE) data for a relaxed Nb2Pd5Rh crystal, as listed in Alexandria via LeMat-Bulk.

- Crystal system: orthorhombic
- DFT formation energy: -0.3618 eV per atom
- Spin magnetization: 1.44 μB per cell

a b c (Å): 5.6426 11.2796 3.9221
angles (deg): 90.00 90.00 90.00
Space group Pbam (No. 55)
One atom of each set of equivalent atoms:
Nb  0.2326  0.1198  0.0000 x4
Pd  0.0000  0.5000  0.5000 x2
Pd  0.0131  0.7502  0.5000 x4
Pd  0.2404  0.3736  0.0000 x4
Rh  0.0000  0.0000  0.5000 x2


8.
First-principles (PBE) data for a relaxed KBeRu crystal, as listed in Alexandria via LeMat-Bulk.

- Crystal system: trigonal
- DFT formation energy: 0.8274 eV per atom
- Spin magnetization: 0.00 μB per cell
- Energy above the lowest structure with this stoichiometry: 323 meV/atom

a b c (Å): 3.3314 3.3314 6.1985
angles (deg): 90.00 90.00 120.00
Space group P3m1 (No. 156)
One atom of each set of equivalent atoms:
K  0.0000  0.0000  0.0000 x1
Be  0.6667  0.3333  0.5854 x1
Ru  0.3333  0.6667  0.4316 x1


9.
First-principles (PBE) data for a relaxed Tb3Er2Cd crystal, as listed in Alexandria via LeMat-Bulk.

- Crystal system: tetragonal
- DFT formation energy: -0.0881 eV per atom
- Spin magnetization: 0.00 μB per cell
- Energy above the lowest structure with this stoichiometry: 0 meV/atom

a b c (Å): 3.5562 3.5562 14.1105
angles (deg): 90.00 90.00 90.00
Space group P4/mmm (No. 123)
One atom of each set of equivalent atoms:
Tb  0.0000  0.0000  0.0000 x1
Tb  0.0000  0.0000  0.3512 x2
Er  0.5000  0.5000  0.1756 x2
Cd  0.5000  0.5000  0.5000 x1


10.
First-principles (PBE) data for a relaxed CaSmTm2Tl4 crystal, as listed in Alexandria via LeMat-Bulk.

- Crystal system: trigonal
- DFT formation energy: -0.3444 eV per atom
- Spin magnetization: 0.00 μB per cell

a b c (Å): 5.3790 5.3790 26.5492
angles (deg): 90.00 90.00 120.00
Space group R-3m (No. 166, hexagonal axes)
One atom of each set of equivalent atoms:
Ca  0.0000  0.0000  0.0000 x3
Sm  0.0000  0.0000  0.5000 x3
Tm  0.0000  0.0000  0.2518 x6
Tl  0.0000  0.0000  0.1250 x6
Tl  0.0000  0.0000  0.3750 x6


11.
First-principles (PBE) data for a relaxed CdRe2As crystal, as listed in Alexandria via LeMat-Bulk.

- Crystal system: orthorhombic
- DFT formation energy: 0.6617 eV per atom
- Spin magnetization: 0.00 μB per cell
- Energy above the lowest structure with this stoichiometry: 464 meV/atom

a b c (Å): 2.8989 4.6972 10.2243
angles (deg): 90.00 90.00 90.00
Space group Imm2 (No. 44)
One atom of each set of equivalent atoms:
Cd  0.0000  0.0000  0.0000 x2
Re  0.0000  0.0000  0.4986 x2
Re  0.0000  0.5000  0.7902 x2
As  0.0000  0.5000  0.2142 x2


12.
First-principles (PBE) data for a relaxed SmAsPb crystal, as listed in Alexandria via LeMat-Bulk.

- Crystal system: trigonal
- DFT formation energy: -0.6419 eV per atom
- Spin magnetization: 0.00 μB per cell

a b c (Å): 5.2066 5.2066 23.2675
angles (deg): 90.00 90.00 120.00
Space group R-3m (No. 166, hexagonal axes)
One atom of each set of equivalent atoms:
Sm  0.0000  0.0000  0.1004 x6
As  0.0000  0.0000  0.2234 x6
Pb  0.0000  0.0000  0.3473 x6